PPtRh2N: relaxed, PBE.

Unit cell a=5.0496 b=5.0496 c=4.3265 alpha=90.00 beta=90.00 gamma=90.00
With the nearest neighbours (Å) after each atom.
Atoms (fractional coordinates):
P  0.0000  0.0000  0.0000  2 Pt 2.16
Pt  0.0000  0.0000  0.5000  2 P 2.16
Rh  0.0000  0.5000  0.5000  2 Pt 2.52
Rh  0.5000  0.0000  0.5000  2 Pt 2.52
N  0.5000  0.5000  0.0000  8 Rh 3.32, 4 P 3.57

Values from the calculation:
As for the raw formation energy: 2133 meV per atom. The density of states at the Fermi level is 8.61 states/eV/cell. Its size of the total moment is 5.2 μB per cell. The calculation puts the total energy at -4.763 eV/atom.